# 1
TbPrB4 after structural relaxation, computed with PBE-GGA.

a = 5.239 Å, b = 5.239 Å, c = 5.239 Å
α = 143.03°, β = 113.26°, γ = 78.82°
Atoms (fractional coordinates):
B: 0.581 0.248 0.334
B: 0.419 0.752 0.666
B: 0.914 0.248 0.666
B: 0.086 0.752 0.334
Pr: 0.000 0.000 0.000
Tb: 0.500 0.500 0.000

- raw total energy (eV per atom) = -6.378
- space-group type = Immm, No. 71
- distance to the lowest polymorph of the same formula (eV per atom) = 0.025

=====

# 2
Pr2Tc3B5 after structural relaxation, computed with PBE-GGA.

a = 5.758 Å, b = 5.758 Å, c = 8.257 Å
α = 123.54°, β = 123.54°, γ = 41.90°
Atoms (fractional coordinates):
B: 0.094 0.626 0.189
B: 0.729 0.271 0.000
B: 0.528 0.523 0.618
B: 0.374 0.906 0.811
B: 0.477 0.472 0.382
Pr: 0.401 0.935 0.264
Pr: 0.065 0.599 0.736
Tc: 0.005 0.995 0.500
Tc: 0.878 0.386 0.902
Tc: 0.614 0.122 0.098

- raw total energy (eV per atom) = -7.828
- space-group type = C2, No. 5

=====

# 3
PrThB4 after structural relaxation, computed with PBE-GGA.

a = 5.349 Å, b = 5.349 Å, c = 5.349 Å
α = 143.52°, β = 114.38°, γ = 77.48°
Atoms (fractional coordinates):
B: 0.418 0.751 0.667
B: 0.582 0.249 0.333
B: 0.916 0.249 0.667
B: 0.084 0.751 0.333
Th: 0.500 0.500 0.000
Pr: 0.000 0.000 0.000

- raw total energy (eV per atom) = -6.837
- space-group type = Immm, No. 71
- distance to the lowest polymorph of the same formula (eV per atom) = 0.006

=====

# 4
PrThB4 after structural relaxation, computed with PBE-GGA.

a = 3.345 Å, b = 3.345 Å, c = 8.355 Å
α = 90.00°, β = 90.00°, γ = 120.00°
Atoms (fractional coordinates):
B: 0.667 0.333 0.752
B: 0.333 0.667 0.752
B: 0.667 0.333 0.248
B: 0.333 0.667 0.248
Pr: 0.000 0.000 0.500
Th: 0.000 0.000 0.000

- raw total energy (eV per atom) = -6.843
- space-group type = P6/mmm, No. 191
- distance to the lowest polymorph of the same formula (eV per atom) = 0.000

=====

# 5
PrTlB after structural relaxation, computed with PBE-GGA.

a = 4.570 Å, b = 4.570 Å, c = 4.570 Å
α = 60.00°, β = 60.00°, γ = 60.00°
Atoms (fractional coordinates):
Tl: 0.750 0.750 0.750
B: 0.000 0.000 0.000
Pr: 0.250 0.250 0.250

- raw total energy (eV per atom) = -4.355
- space-group type = F-43m, No. 216
- distance to the lowest polymorph of the same formula (eV per atom) = 0.000

=====

# 6
PrTlB after structural relaxation, computed with PBE-GGA.

a = 4.785 Å, b = 4.785 Å, c = 4.785 Å
α = 60.00°, β = 60.00°, γ = 60.00°
Atoms (fractional coordinates):
B: 0.250 0.250 0.250
Pr: 0.750 0.750 0.750
Tl: 0.000 0.000 0.000

- raw total energy (eV per atom) = -3.664
- space-group type = F-43m, No. 216
- distance to the lowest polymorph of the same formula (eV per atom) = 0.691

=====

# 7
PrTlB after structural relaxation, computed with PBE-GGA.

a = 4.858 Å, b = 4.858 Å, c = 4.858 Å
α = 60.00°, β = 60.00°, γ = 60.00°
Atoms (fractional coordinates):
Tl: 0.750 0.750 0.750
Pr: 0.000 0.000 0.000
B: 0.250 0.250 0.250

- raw total energy (eV per atom) = -3.694
- space-group type = F-43m, No. 216
- distance to the lowest polymorph of the same formula (eV per atom) = 0.661

=====

# 8
PrTlB after structural relaxation, computed with PBE-GGA.

a = 4.392 Å, b = 4.392 Å, c = 4.392 Å
α = 65.58°, β = 65.58°, γ = 65.58°
Atoms (fractional coordinates):
B: 0.107 0.107 0.107
Pr: 0.363 0.363 0.363
Tl: 0.860 0.860 0.860

- raw total energy (eV per atom) = -4.339
- space-group type = R3m, No. 160
- distance to the lowest polymorph of the same formula (eV per atom) = 0.016

=====

# 9
PrTmB4 after structural relaxation, computed with PBE-GGA.

a = 3.295 Å, b = 3.295 Å, c = 8.004 Å
α = 90.00°, β = 90.00°, γ = 120.00°
Atoms (fractional coordinates):
Pr: 0.000 0.000 0.500
B: 0.333 0.667 0.232
B: 0.333 0.667 0.768
B: 0.667 0.333 0.232
B: 0.667 0.333 0.768
Tm: 0.000 0.000 0.000

- raw total energy (eV per atom) = -6.437
- space-group type = P6/mmm, No. 191
- distance to the lowest polymorph of the same formula (eV per atom) = 0.000

=====

# 10
PrTmB4 after structural relaxation, computed with PBE-GGA.

a = 5.191 Å, b = 5.191 Å, c = 5.191 Å
α = 142.88°, β = 112.88°, γ = 79.27°
Atoms (fractional coordinates):
B: 0.919 0.253 0.666
B: 0.587 0.253 0.334
B: 0.413 0.747 0.666
B: 0.081 0.747 0.334
Tm: 0.000 0.000 0.000
Pr: 0.500 0.500 0.000

- raw total energy (eV per atom) = -6.384
- space-group type = Immm, No. 71
- distance to the lowest polymorph of the same formula (eV per atom) = 0.053

=====

# 11
PrUB after structural relaxation, computed with PBE-GGA.

a = 4.505 Å, b = 4.505 Å, c = 4.505 Å
α = 60.00°, β = 60.00°, γ = 60.00°
Site moments in Bohr magnetons follow the coordinates.
Atoms (fractional coordinates):
Pr: 0.250 0.250 0.250  0.12
U: 0.750 0.750 0.750  1.96
B: 0.000 0.000 0.000  -0.05

- raw total energy (eV per atom) = -6.990
- space-group type = F-43m, No. 216
- distance to the lowest polymorph of the same formula (eV per atom) = 0.000

=====

# 12
PrBW after structural relaxation, computed with PBE-GGA.

a = 4.276 Å, b = 4.276 Å, c = 4.276 Å
α = 60.00°, β = 60.00°, γ = 60.00°
Atoms (fractional coordinates):
Pr: 0.250 0.250 0.250
B: 0.000 0.000 0.000
W: 0.750 0.750 0.750

- raw total energy (eV per atom) = -7.277
- space-group type = F-43m, No. 216
- distance to the lowest polymorph of the same formula (eV per atom) = 0.000

=====

# 13
PrBW after structural relaxation, computed with PBE-GGA.

a = 4.647 Å, b = 4.647 Å, c = 4.647 Å
α = 60.00°, β = 60.00°, γ = 60.00°
Site moments in Bohr magnetons follow the coordinates.
Atoms (fractional coordinates):
B: 0.250 0.250 0.250  -0.11
W: 0.750 0.750 0.750  2.27
Pr: 0.000 0.000 0.000  0.20

- raw total energy (eV per atom) = -5.750
- space-group type = F-43m, No. 216
- distance to the lowest polymorph of the same formula (eV per atom) = 1.526

=====

# 14
PrB4W after structural relaxation, computed with PBE-GGA.

a = 4.892 Å, b = 4.892 Å, c = 4.892 Å
α = 141.87°, β = 110.78°, γ = 81.87°
Atoms (fractional coordinates):
B: 0.097 0.758 0.339
B: 0.582 0.242 0.339
B: 0.903 0.242 0.661
B: 0.418 0.758 0.661
Pr: 0.000 0.000 0.000
W: 0.500 0.500 0.000

- raw total energy (eV per atom) = -7.482
- space-group type = Immm, No. 71
- distance to the lowest polymorph of the same formula (eV per atom) = 0.234

=====

# 15
PrB4W after structural relaxation, computed with PBE-GGA.

a = 3.136 Å, b = 3.136 Å, c = 7.568 Å
α = 90.00°, β = 90.00°, γ = 120.00°
Atoms (fractional coordinates):
B: 0.333 0.667 0.712
B: 0.333 0.667 0.288
B: 0.667 0.333 0.288
B: 0.667 0.333 0.712
Pr: 0.000 0.000 0.000
W: 0.000 0.000 0.500

- raw total energy (eV per atom) = -7.717
- space-group type = P6/mmm, No. 191
- distance to the lowest polymorph of the same formula (eV per atom) = 0.000

=====

# 16
PrYB4 after structural relaxation, computed with PBE-GGA.

a = 5.230 Å, b = 5.230 Å, c = 5.230 Å
α = 142.91°, β = 113.08°, γ = 79.06°
Atoms (fractional coordinates):
Pr: 0.000 0.000 0.000
Y: 0.500 0.500 0.000
B: 0.914 0.248 0.666
B: 0.418 0.752 0.666
B: 0.086 0.752 0.334
B: 0.582 0.248 0.334

- raw total energy (eV per atom) = -6.693
- space-group type = Immm, No. 71
- distance to the lowest polymorph of the same formula (eV per atom) = 0.031

=====

# 17
PrYB4 after structural relaxation, computed with PBE-GGA.

a = 3.320 Å, b = 3.320 Å, c = 8.076 Å
α = 90.00°, β = 90.00°, γ = 120.00°
Atoms (fractional coordinates):
B: 0.333 0.667 0.263
B: 0.333 0.667 0.737
B: 0.667 0.333 0.263
B: 0.667 0.333 0.737
Y: 0.000 0.000 0.500
Pr: 0.000 0.000 0.000

- raw total energy (eV per atom) = -6.724
- space-group type = P6/mmm, No. 191
- distance to the lowest polymorph of the same formula (eV per atom) = 0.000

=====

# 18
PrZrB4 after structural relaxation, computed with PBE-GGA.

a = 3.243 Å, b = 3.243 Å, c = 7.807 Å
α = 90.00°, β = 90.00°, γ = 120.00°
Atoms (fractional coordinates):
B: 0.667 0.333 0.778
B: 0.667 0.333 0.222
B: 0.333 0.667 0.778
B: 0.333 0.667 0.222
Pr: 0.000 0.000 0.500
Zr: 0.000 0.000 0.000

- raw total energy (eV per atom) = -7.303
- space-group type = P6/mmm, No. 191

=====

# 19
BPt2 after structural relaxation, computed with PBE-GGA.

a = 6.400 Å, b = 6.400 Å, c = 6.400 Å
α = 60.00°, β = 60.00°, γ = 60.00°
Atoms (fractional coordinates):
Pt: 0.875 0.375 0.375
Pt: 0.375 0.375 0.375
Pt: 0.375 0.875 0.375
Pt: 0.375 0.375 0.875
B: 0.500 0.500 0.500
B: 0.250 0.250 0.250

- raw total energy (eV per atom) = -5.191
- space-group type = Fd-3m, No. 227

=====

# 20
BPt2 after structural relaxation, computed with PBE-GGA.

a = 5.462 Å, b = 5.462 Å, c = 4.707 Å
α = 90.00°, β = 90.00°, γ = 34.13°
Atoms (fractional coordinates):
B: 0.252 0.748 0.750
B: 0.748 0.252 0.250
Pt: 0.885 0.383 0.750
Pt: 0.383 0.885 0.250
Pt: 0.617 0.115 0.750
Pt: 0.115 0.617 0.250

- raw total energy (eV per atom) = -6.281
- space-group type = Cmcm, No. 63